## Sb2PtPb (PBE)

Data for Sb2PtPb after structural relaxation.

Cell: 7.263 4.137 7.705 Å, 90.00 108.92 90.00°
Space group Cm (No. 8)
Unique sites:
Sb1 0.000 0.000 0.000 x2
Sb2 0.216 0.000 0.648 x2
Pt1 0.109 0.500 0.827 x2
Pb1 0.272 0.500 0.297 x2

Properties
**E**: -4.719 eV/atom

---

## In4IrRh2 (PBE)

Data for In4IrRh2 after structural relaxation.

Cell: 4.5619 4.5619 22.0177 Å, 90.00 90.00 120.00°
Space group R-3m (No. 166, hexagonal axes)
Unique sites:
In1 0.0000 0.0000 0.1197 x6
In2 0.0000 0.0000 0.3712 x6
Ir1 0.0000 0.0000 0.5000 x3
Rh1 0.0000 0.0000 0.2463 x6

Properties
**Formation enthalpy at 0 K**: -280 meV/atom

---

## CoRe2As (PBE)

Data for CoRe2As after structural relaxation.

Cell: 5.246 7.420 2.866 Å, 90.00 90.00 90.00°
Space group Cmmm (No. 65)
Unique sites:
Co1 0.000 0.000 0.000 x2
Re1 0.250 0.250 0.500 x4
As1 0.000 0.500 0.000 x2

Properties
**Formation enthalpy at 0 K**: 476 meV/atom

---

## TaBrCl2 (PBE)

Data for TaBrCl2 after structural relaxation.

Cell: 3.1518 3.1518 31.4071 Å, 90.00 90.00 120.00°
Space group R-3m (No. 166, hexagonal axes)
Unique sites:
Ta1 0.0000 0.0000 0.0000 x3
Br1 0.0000 0.0000 0.5000 x3
Cl1 0.0000 0.0000 0.2767 x6

Properties
**Polymorph energy (0 for the lowest one)**: 428.4 meV per atom

---

## Nd2Sm2DyHo (PBE)

Data for Nd2Sm2DyHo after structural relaxation.

Cell: 7.070 5.699 9.879 Å, 90.00 90.00 90.00°
Space group Pmma (No. 51)
Unique sites:
Nd1 0.000 0.000 0.000 x2
Nd2 0.250 0.500 0.177 x2
Sm1 0.250 0.000 0.331 x2
Sm2 0.250 0.500 0.837 x2
Dy1 0.250 0.000 0.659 x2
Ho1 0.000 0.500 0.500 x2

Properties
**Formation enthalpy at 0 K**: 59 meV/atom

---

## HgPd6Au5 (PBE)

Data for HgPd6Au5 after structural relaxation.

Cell: 4.559 13.689 6.530 Å, 90.00 90.09 90.00°
Space group C2/m (No. 12)
Unique sites:
Hg1 0.000 0.000 0.000 x2
Pd1 0.000 0.167 0.252 x8
Pd2 0.000 0.500 0.250 x4
Au1 0.000 0.000 0.500 x2
Au2 0.000 0.332 0.000 x4
Au3 0.000 0.334 0.500 x4

Properties
**Formation enthalpy at 0 K**: -99 meV/atom
**Polymorph energy (0 for the lowest one)**: 0.0 meV per atom

---

## Cs3Li2NdCl8 (PBE)

Data for Cs3Li2NdCl8 after structural relaxation.

Cell: 7.5799 7.5799 9.8553 Å, 90.00 90.00 120.00°
Space group P-3m1 (No. 164)
Unique sites:
Cs1 0.0000 0.0000 0.0000 x1
Cs2 0.3333 0.6667 0.6659 x2
Li1 0.3333 0.6667 0.2201 x2
Nd1 0.0000 0.0000 0.5000 x1
Cl1 0.1679 0.3359 0.3359 x6
Cl2 0.3333 0.6667 0.9948 x2

Properties
**E**: -3.861 eV/atom

---

## Li2AcBiN (PBE)

Data for Li2AcBiN after structural relaxation.

Cell: 6.830 6.830 9.568 Å, 90.00 90.00 90.00°
Space group I4/mcm (No. 140)
Unique sites:
Li1 0.246 0.254 0.000 x8
Ac1 0.000 0.000 0.250 x4
Bi1 0.000 0.500 0.250 x4
N1 0.000 0.000 0.000 x4

Properties
**E**: -4.560 eV/atom

---

## ScAs2Se (PBE)

Data for ScAs2Se after structural relaxation.

Cell: 3.803 3.932 5.779 Å, 90.00 109.10 90.00°
Space group Pm (No. 6)
Unique sites:
Sc1 0.000 0.000 0.000 x1
As1 0.334 0.000 0.579 x1
As2 0.933 0.500 0.622 x1
Se1 0.555 0.500 0.136 x1

Properties
**E**: -5.509 eV/atom

---

## CdBrCl (PBE)

Data for CdBrCl after structural relaxation.

Cell: 3.828 7.908 14.419 Å, 90.00 90.00 90.00°
Space group Fmm2 (No. 42)
Unique sites:
Cd1 0.000 0.000 0.000 x4
Br1 0.000 0.000 0.630 x4
Cl1 0.000 0.000 0.382 x4

Properties
**E**: -2.284 eV/atom

---

## Sc2ZnAu (PBE)

Data for Sc2ZnAu after structural relaxation.

Cell: 3.3276 3.3276 26.4594 Å, 90.00 90.00 120.00°
Space group R3m (No. 160, hexagonal axes)
Unique sites:
Sc1 0.0000 0.0000 0.0000 x3
Sc2 0.0000 0.0000 0.2344 x3
Zn1 0.0000 0.0000 0.4858 x3
Au1 0.0000 0.0000 0.7466 x3

Properties
**Formation enthalpy at 0 K**: -199 meV/atom

---

## Pm2Ga3GePt4 (PBE)

Data for Pm2Ga3GePt4 after structural relaxation.

Cell: 4.286 4.286 10.455 Å, 90.00 90.00 90.00°
Space group P-4m2 (No. 115)
Unique sites:
Pm1 0.000 0.500 0.244 x2
Ga1 0.000 0.000 0.000 x1
Ga2 0.000 0.500 0.633 x2
Ge1 0.500 0.500 0.000 x1
Pt1 0.000 0.000 0.500 x1
Pt2 0.000 0.500 0.869 x2
Pt3 0.500 0.500 0.500 x1

Properties
**Formation enthalpy at 0 K**: -960 meV/atom

---

## CdPt2Rh2 (PBE)

Data for CdPt2Rh2 after structural relaxation.

Cell: 7.698 7.698 2.812 Å, 90.00 90.00 90.00°
Space group P4/mbm (No. 127)
Unique sites:
Cd1 0.000 0.000 0.000 x2
Pt1 0.175 0.325 0.500 x4
Rh1 0.123 0.623 0.000 x4

Properties
**Formation enthalpy at 0 K**: 67 meV/atom
**Polymorph energy (0 for the lowest one)**: 0.0 meV per atom

---

## HgPRuS2 (PBE)

Data for HgPRuS2 after structural relaxation.

Cell: 4.805 4.805 4.452 Å, 90.00 90.00 90.00°
Space group P4/mmm (No. 123)
Unique sites:
Hg1 0.000 0.000 0.000 x1
P1 0.500 0.500 0.000 x1
Ru1 0.500 0.500 0.500 x1
S1 0.000 0.500 0.500 x2

Properties
**Polymorph energy (0 for the lowest one)**: 0.0 meV per atom

---

## Nd4IrRh3 (PBE)

Data for Nd4IrRh3 after structural relaxation.

Cell: 3.976 4.258 10.967 Å, 90.00 90.00 90.00°
Space group Pmm2 (No. 25)
Unique sites:
Nd1 0.000 0.000 0.000 x1
Nd2 0.000 0.500 0.284 x1
Nd3 0.500 0.000 0.498 x1
Nd4 0.500 0.500 0.783 x1
Ir1 0.500 0.000 0.222 x1
Rh1 0.000 0.000 0.726 x1
Rh2 0.000 0.500 0.558 x1
Rh3 0.500 0.500 0.057 x1

Properties
**Formation enthalpy at 0 K**: -668 meV/atom

---

## La8Sm6Cd (PBE)

Data for La8Sm6Cd after structural relaxation.

Cell: 9.5111 9.5111 6.6905 Å, 90.00 90.00 120.00°
Space group P-3 (No. 147)
Unique sites:
La1 0.0457 0.7706 0.3231 x6
La2 0.3333 0.6667 0.3685 x2
Sm1 0.0967 0.6514 0.8387 x6
Cd1 0.0000 0.0000 0.0000 x1

Properties
**Formation enthalpy at 0 K**: 77 meV/atom

---

## K4Tb3NpS8 (PBE)

Data for K4Tb3NpS8 after structural relaxation.

Cell: 8.1719 8.1719 22.1048 Å, 90.00 90.00 120.00°
Space group R-3m (No. 166, hexagonal axes)
Unique sites:
K1 0.0000 0.0000 0.0000 x3
K2 0.0000 0.5000 0.0000 x9
Tb1 0.0000 0.5000 0.5000 x9
Np1 0.0000 0.0000 0.5000 x3
S1 0.0000 0.0000 0.2343 x6
S2 0.0020 0.5010 0.7659 x18

Properties
**E**: -5.769 eV/atom

---

## RbB2Mo (PBE)

Data for RbB2Mo after structural relaxation.

Cell: 6.664 6.664 9.150 Å, 90.00 90.00 90.00°
Space group I-42d (No. 122)
Unique sites:
Rb1 0.000 0.000 0.000 x4
B1 0.053 0.750 0.625 x8
Mo1 0.000 0.000 0.500 x4

Properties
**Formation enthalpy at 0 K**: 944 meV/atom
**Polymorph energy (0 for the lowest one)**: 0.0 meV per atom

---

## TlPtI4 (PBE)

Data for TlPtI4 after structural relaxation.

Cell: 10.806 13.729 8.427 Å, 90.00 90.00 90.00°
Space group Cccm (No. 66)
Unique sites:
Tl1 0.250 0.250 0.000 x4
Pt1 0.000 0.000 0.250 x4
I1 0.000 0.195 0.250 x8
I2 0.174 0.003 0.500 x8

Properties
**Polymorph energy (0 for the lowest one)**: 0.0 meV per atom

---

## AsOsBr2 (PBE)

Data for AsOsBr2 after structural relaxation.

Cell: 3.044 3.044 10.078 Å, 90.00 90.00 90.00°
Space group P4mm (No. 99)
Unique sites:
As1 0.000 0.000 0.000 x1
Os1 0.500 0.500 0.859 x1
Br1 0.000 0.000 0.668 x1
Br2 0.500 0.500 0.305 x1

Properties
**Polymorph energy (0 for the lowest one)**: 366.6 meV per atom